#w
A plane-wave DFT calculation with PBE was carried out for a relaxed SbC3 crystal.

The structure in POSCAR format:
```
SbC3
1.0
-1.707 1.707 9.047
1.707 -1.707 9.047
1.707 1.707 -9.047
Sb C
2 6
direct
0.167 0.167 0.000
0.833 0.833 0.000
0.000 0.500 0.500
0.250 0.750 0.500
0.458 0.458 0.000
0.500 0.000 0.500
0.542 0.542 0.000
0.750 0.250 0.500
```

Computed properties:
* symmetry: I4/mmm (139)
* total moment: 0.00 μB/f.u.

***

#x
A plane-wave DFT calculation with PBE was carried out for a relaxed SbC3 crystal.

The structure in POSCAR format:
```
SbC3
1.0
4.322 0.000 0.000
0.000 4.322 0.000
0.000 0.000 4.322
Sb C
1 3
direct
0.000 0.000 0.000
0.000 0.000 0.500
0.000 0.500 0.000
0.500 0.000 0.000
```

Computed properties:
* symmetry: Pm-3m (221)
* total moment: 0.87 μB/f.u.

***

Stability, highest: #w

***

#w
A plane-wave DFT calculation with PBE was carried out for a relaxed SbC3 crystal.

The structure in POSCAR format:
```
SbC3
1.0
4.729 0.000 0.000
0.000 4.744 0.000
0.000 0.000 5.970
Sb C
2 6
direct
0.250 0.250 0.185
0.750 0.750 0.815
0.107 0.750 0.595
0.250 0.750 0.380
0.393 0.750 0.595
0.607 0.250 0.405
0.750 0.250 0.620
0.893 0.250 0.405
```

Computed properties:
* symmetry: Pmmn (59)
* total moment: 0.00 μB/f.u.

***

#x
A plane-wave DFT calculation with PBE was carried out for a relaxed SbC3 crystal.

The structure in POSCAR format:
```
SbC3
1.0
3.331 0.000 0.000
0.000 2.528 0.000
-0.044 0.000 7.723
Sb C
1 3
direct
0.000 0.000 0.000
0.000 0.000 0.500
0.294 0.500 0.500
0.706 0.500 0.500
```

Computed properties:
* symmetry: P2/m (10)
* total moment: 0.00 μB/f.u.

***

Stability, highest: #w

***

#w
A plane-wave DFT calculation with PBE was carried out for a relaxed SbC3 crystal.

The structure in POSCAR format:
```
SbC3
1.0
-2.166 2.234 2.821
2.166 -2.234 2.821
2.166 2.234 -2.821
Sb C
1 3
direct
0.000 0.000 0.000
0.353 0.500 0.853
0.500 0.000 0.500
0.647 0.500 0.147
```

Computed properties:
* symmetry: Immm (71)
* total moment: 0.00 μB/f.u.

***

#x
A plane-wave DFT calculation with PBE was carried out for a relaxed SbC3 crystal.

The structure in POSCAR format:
```
SbC3
1.0
3.481 0.000 0.000
-1.740 3.014 0.000
0.000 0.000 5.092
Sb C
1 3
direct
0.000 0.000 0.000
0.000 0.000 0.500
0.333 0.667 0.367
0.333 0.667 0.633
```

Computed properties:
* symmetry: P-6m2 (187)
* total moment: 0.00 μB/f.u.

***

#y
A plane-wave DFT calculation with PBE was carried out for a relaxed SbC3 crystal.

The structure in POSCAR format:
```
SbC3
1.0
-1.956 1.956 2.848
1.956 -1.956 2.848
1.956 1.956 -2.848
Sb C
1 3
direct
0.000 0.000 0.000
0.250 0.750 0.500
0.500 0.500 0.000
0.750 0.250 0.500
```

Computed properties:
* symmetry: I4/mmm (139)
* total moment: 0.00 μB/f.u.

***

Stability, highest: #x

***

#w
A plane-wave DFT calculation with PBE was carried out for a relaxed SbC3 crystal.

The structure in POSCAR format:
```
SbC3
1.0
1.285 -3.199 0.000
1.285 3.199 0.000
0.000 0.000 6.816
Sb C
1 3
direct
0.000 0.000 0.000
0.000 0.000 0.500
0.500 0.500 0.372
0.500 0.500 0.628
```

Computed properties:
* symmetry: Cmmm (65)
* total moment: 0.00 μB/f.u.

***

#x
A plane-wave DFT calculation with PBE was carried out for a relaxed SbC3 crystal.

The structure in POSCAR format:
```
SbC3
1.0
7.440 0.000 0.000
0.000 5.625 0.000
0.000 0.000 5.618
Sb C
4 12
direct
0.212 0.250 0.040
0.288 0.750 0.540
0.712 0.250 0.460
0.788 0.750 0.960
0.079 0.029 0.559
0.079 0.471 0.559
0.135 0.250 0.657
0.365 0.750 0.157
0.421 0.529 0.059
0.421 0.971 0.059
0.579 0.029 0.941
0.579 0.471 0.941
0.635 0.250 0.843
0.865 0.750 0.343
0.921 0.529 0.441
0.921 0.971 0.441
```

Computed properties:
* symmetry: Pnma (62)
* total moment: 0.00 μB/f.u.

***

#y
A plane-wave DFT calculation with PBE was carried out for a relaxed SbC3 crystal.

The structure in POSCAR format:
```
SbC3
1.0
4.784 0.000 0.000
-2.392 4.143 0.000
0.000 0.000 10.909
Sb C
4 12
direct
0.000 0.000 0.000
0.000 0.000 0.500
0.333 0.667 0.250
0.667 0.333 0.750
0.000 0.500 0.000
0.000 0.500 0.500
0.234 0.468 0.750
0.234 0.766 0.750
0.468 0.234 0.250
0.500 0.000 0.000
0.500 0.000 0.500
0.500 0.500 0.000
0.500 0.500 0.500
0.532 0.766 0.750
0.766 0.234 0.250
0.766 0.532 0.250
```

Computed properties:
* symmetry: P6_3/mmc (194)
* total moment: 0.63 μB/f.u.

***

#z
A plane-wave DFT calculation with PBE was carried out for a relaxed SbC3 crystal.

The structure in POSCAR format:
```
SbC3
1.0
3.117 -3.503 0.000
3.117 3.503 0.000
0.000 0.000 6.401
Sb C
2 6
direct
0.010 0.990 0.750
0.990 0.010 0.250
0.299 0.701 0.250
0.354 0.416 0.250
0.416 0.354 0.750
0.584 0.646 0.250
0.646 0.584 0.750
0.701 0.299 0.750
```

Computed properties:
* symmetry: Cmcm (63)
* total moment: 0.00 μB/f.u.

***

Stability, highest: #x

***

#w
A plane-wave DFT calculation with PBE was carried out for a relaxed SbC3 crystal.

The structure in POSCAR format:
```
SbC3
1.0
3.468 -1.293 0.000
3.468 1.293 0.000
-2.844 0.000 8.693
Sb C
1 3
direct
0.000 0.000 0.000
0.304 0.304 0.500
0.500 0.500 0.500
0.696 0.696 0.500
```

Computed properties:
* symmetry: C2/m (12)
* total moment: 0.00 μB/f.u.

***

#x
A plane-wave DFT calculation with PBE was carried out for a relaxed SbC3 crystal.

The structure in POSCAR format:
```
SbC3
1.0
-2.187 2.187 2.187
2.187 -2.187 2.187
2.187 2.187 -2.187
Sb C
1 3
direct
0.000 0.000 0.000
0.000 0.500 0.500
0.500 0.000 0.500
0.500 0.500 0.000
```

Computed properties:
* symmetry: Im-3m (229)
* total moment: 0.00 μB/f.u.

***

#y
A plane-wave DFT calculation with PBE was carried out for a relaxed SbC3 crystal.

The structure in POSCAR format:
```
SbC3
1.0
-1.582 2.920 4.351
1.582 -2.920 4.351
1.582 2.920 -4.351
Sb C
1 3
direct
0.000 0.000 0.000
0.430 0.150 0.279
0.634 0.134 0.500
0.871 0.150 0.721
```

Computed properties:
* symmetry: Imm2 (44)
* total moment: 0.00 μB/f.u.

***

Stability, highest: #w

***

#w
A plane-wave DFT calculation with PBE was carried out for a relaxed SbC3 crystal.

The structure in POSCAR format:
```
SbC3
1.0
3.562 0.000 0.000
0.000 3.562 0.000
0.000 0.000 3.562
Sb C
1 3
direct
0.000 0.000 0.000
0.000 0.500 0.500
0.500 0.000 0.500
0.500 0.500 0.000
```

Computed properties:
* symmetry: Pm-3m (221)
* total moment: 0.00 μB/f.u.

***

#x
A plane-wave DFT calculation with PBE was carried out for a relaxed SbC3 crystal.

The structure in POSCAR format:
```
SbC3
1.0
2.318 -2.983 0.000
2.318 2.983 0.000
0.000 0.000 3.276
Sb C
1 3
direct
0.000 0.000 0.000
0.000 0.500 0.500
0.500 0.000 0.500
0.500 0.500 0.000
```

Computed properties:
* symmetry: Cmmm (65)
* total moment: 0.00 μB/f.u.

***

#y
A plane-wave DFT calculation with PBE was carried out for a relaxed SbC3 crystal.

The structure in POSCAR format:
```
SbC3
1.0
2.701 0.000 0.000
0.000 2.701 0.000
0.000 0.000 6.155
Sb C
1 3
direct
0.000 0.000 0.000
0.000 0.500 0.631
0.500 0.000 0.369
0.500 0.500 0.500
```

Computed properties:
* symmetry: P-4m2 (115)
* total moment: 0.00 μB/f.u.

***

Stability, highest: #y

***

#w
A plane-wave DFT calculation with PBE was carried out for a relaxed SbC3 crystal.

The structure in POSCAR format:
```
SbC3
1.0
2.502 -6.885 0.000
2.502 6.885 0.000
0.000 0.000 3.323
Sb C
2 6
direct
0.150 0.850 0.750
0.850 0.150 0.250
0.245 0.491 0.750
0.308 0.692 0.250
0.491 0.245 0.250
0.509 0.755 0.750
0.692 0.308 0.750
0.755 0.509 0.250
```

Computed properties:
* symmetry: Cmcm (63)
* total moment: 0.00 μB/f.u.

***

#x
A plane-wave DFT calculation with PBE was carried out for a relaxed SbC3 crystal.

The structure in POSCAR format:
```
SbC3
1.0
3.156 0.000 0.000
0.000 3.156 0.000
0.000 0.000 4.923
Sb C
1 3
direct
0.000 0.000 0.000
0.000 0.000 0.500
0.500 0.500 0.366
0.500 0.500 0.634
```

Computed properties:
* symmetry: P4/mmm (123)
* total moment: 0.00 μB/f.u.

***

Stability, highest: #w

***

#w
A plane-wave DFT calculation with PBE was carried out for a relaxed SbC3 crystal.

The structure in POSCAR format:
```
SbC3
1.0
1.420 0.820 6.182
-1.420 0.820 6.182
0.000 -1.640 6.182
Sb C
1 3
direct
0.000 0.000 0.000
0.211 0.211 0.211
0.500 0.500 0.500
0.789 0.789 0.789
```

Computed properties:
* symmetry: R-3m (166)
* total moment: 0.00 μB/f.u.

***

#x
A plane-wave DFT calculation with PBE was carried out for a relaxed SbC3 crystal.

The structure in POSCAR format:
```
SbC3
1.0
4.926 0.000 0.000
-2.463 4.266 0.000
0.000 0.000 5.948
Sb C
2 6
direct
0.333 0.667 0.250
0.667 0.333 0.750
0.097 0.194 0.750
0.097 0.903 0.750
0.194 0.097 0.250
0.806 0.903 0.750
0.903 0.097 0.250
0.903 0.806 0.250
```

Computed properties:
* symmetry: P6_3/mmc (194)
* total moment: 0.00 μB/f.u.

***

Stability, highest: #x